<1>
Compound: TlAsP2Cl
Source: Alexandria
Functional: GGA-PBE
Structure: optimized geometry

Cell: 4.731 4.731 5.895 Å, 90.00 90.00 90.00°
Fractional coordinates of all 5 atoms:
P 0.500 0.000 0.000
P 0.000 0.500 0.000
Tl 0.500 0.500 0.500
As 0.000 0.000 0.000
Cl 0.000 0.000 0.500

Results
Space group ... P4/mmm (123)
Volume ... 132.0 Å³ per cell
Magnetization ... 0.0 μB/f.u.



<2>
Compound: TlAsP2Cl
Source: Alexandria
Functional: GGA-PBE
Structure: optimized geometry

Cell: 5.166 5.166 5.073 Å, 90.00 90.00 90.00°
Fractional coordinates of all 5 atoms:
Cl 0.000 0.000 0.500
Tl 0.000 0.000 0.000
As 0.500 0.500 0.500
P 0.500 0.000 0.000
P 0.000 0.500 0.000

Results
Space group ... P4/mmm (123)
Volume ... 135.4 Å³ per cell
Magnetization ... 0.0 μB/f.u.



The structure with the most favorable energy is <1>; the runner-up is 770 meV per atom above it.



<1>
Compound: VAsPCl2
Source: Alexandria
Functional: GGA-PBE
Structure: optimized geometry

Cell: 4.875 4.875 4.973 Å, 90.00 90.00 90.00°
Fractional coordinates of all 5 atoms:
V 0.500 0.500 0.500
Cl 0.500 0.000 0.000
Cl 0.000 0.500 0.000
As 0.000 0.000 0.000
P 0.000 0.000 0.500

Results
Space group ... P4/mmm (123)
Volume ... 118.2 Å³ per cell
Magnetization ... 3.2 μB/f.u.



<2>
Compound: VAsPCl2
Source: Alexandria
Functional: GGA-PBE
Structure: optimized geometry

Cell: 4.563 4.563 5.145 Å, 90.00 90.00 90.00°
Fractional coordinates of all 5 atoms:
As 0.500 0.500 0.500
Cl 0.500 0.000 0.000
Cl 0.000 0.500 0.000
V 0.000 0.000 0.000
P 0.000 0.000 0.500

Results
Space group ... P4/mmm (123)
Volume ... 107.1 Å³ per cell
Magnetization ... 3.0 μB/f.u.



The structure with the most favorable energy is <2>; the runner-up is 497 meV per atom above it.